Entry 1:
# PBE-GGA CdAg2SbO4, relaxed
# **D(E_F)**: 1.1 states/eV/f.u.
# **VASP energy**: -36.29 eV/f.u.
# **Formation energy without anion corrections**: -5.72 eV per formula unit
data_CdAg2SbO4
_cell_length_a 5.321
_cell_length_b 5.323
_cell_length_c 6.206
_cell_angle_alpha 115.42
_cell_angle_beta 115.39
_cell_angle_gamma 90.00
_space_group_name_H-M_alt 'P 1'
_space_group_IT_number 1
loop_
_space_group_symop_operation_xyz
'x,y,z'
loop_
_atom_site_label
_atom_site_type_symbol
_atom_site_fract_x
_atom_site_fract_y
_atom_site_fract_z
Cd1 Cd 0.986 0.486 0.972
Ag1 Ag 0.486 0.986 0.972
Ag2 Ag 0.236 0.236 0.472
Sb1 Sb 0.736 0.736 0.472
O1 O 0.651 0.623 0.699
O2 O 0.849 0.423 0.244
O3 O 0.395 0.821 0.244
O4 O 0.049 0.077 0.700

Entry 2:
# PBE-GGA FeW3Se, relaxed
# **D(E_F)**: 9.6 states/eV/f.u.
# **Distance to the lowest polymorph of the same formula**: 2.628 eV/f.u.
# **VASP energy**: -40.63 eV/f.u.
# **Formation energy without anion corrections**: 10.18 eV per formula unit
data_FeW3Se
_cell_length_a 4.543
_cell_length_b 4.543
_cell_length_c 4.543
_cell_angle_alpha 90.00
_cell_angle_beta 90.00
_cell_angle_gamma 90.00
_space_group_name_H-M_alt 'P 1'
_space_group_IT_number 1
loop_
_space_group_symop_operation_xyz
'x,y,z'
loop_
_atom_site_label
_atom_site_type_symbol
_atom_site_fract_x
_atom_site_fract_y
_atom_site_fract_z
Se1 Se 0.000 0.000 0.000
W1 W 0.000 0.500 0.000
W2 W 0.000 0.000 0.500
W3 W 0.500 0.000 0.000
Fe1 Fe 0.500 0.500 0.500

Entry 3:
# PBE-GGA Pr3Pt2, relaxed
# **D(E_F)**: 3.9 states/eV/f.u.
# **Distance to the lowest polymorph of the same formula**: 0.381 eV/f.u.
# **VASP energy**: -30.63 eV/f.u.
# **Formation energy from the elements**: -841 meV per atom
data_Pr3Pt2
_cell_length_a 7.262
_cell_length_b 7.262
_cell_length_c 7.831
_cell_angle_alpha 62.38
_cell_angle_beta 62.38
_cell_angle_gamma 60.00
_space_group_name_H-M_alt 'P 1'
_space_group_IT_number 1
loop_
_space_group_symop_operation_xyz
'x,y,z'
loop_
_atom_site_label
_atom_site_type_symbol
_atom_site_fract_x
_atom_site_fract_y
_atom_site_fract_z
Pr1 Pr 0.110 0.750 0.750
Pr2 Pr 0.750 0.390 0.750
Pr3 Pr 0.390 0.110 0.750
Pr4 Pr 0.250 0.610 0.250
Pr5 Pr 0.610 0.890 0.250
Pr6 Pr 0.890 0.250 0.250
Pt1 Pt 0.823 0.823 0.531
Pt2 Pt 0.323 0.323 0.031
Pt3 Pt 0.177 0.177 0.469
Pt4 Pt 0.677 0.677 0.969

Entry 4:
# PBE-GGA TbPm2Pd3, relaxed
# **D(E_F)**: 3.8 states/eV/f.u.
# **Distance to the lowest polymorph of the same formula**: 0.000 eV/f.u.
# **VASP energy**: -34.52 eV/f.u.
# **Formation energy from the elements**: -802 meV per atom
data_TbPm2Pd3
_cell_length_a 3.491
_cell_length_b 5.094
_cell_length_c 15.401
_cell_angle_alpha 90.00
_cell_angle_beta 90.00
_cell_angle_gamma 90.00
_space_group_name_H-M_alt 'P 1'
_space_group_IT_number 1
loop_
_space_group_symop_operation_xyz
'x,y,z'
loop_
_atom_site_label
_atom_site_type_symbol
_atom_site_fract_x
_atom_site_fract_y
_atom_site_fract_z
Tb1 Tb 0.999 0.500 0.500
Tb2 Tb 0.001 0.000 0.000
Pm1 Pm 0.999 0.000 0.667
Pm2 Pm 0.999 0.000 0.333
Pm3 Pm 0.001 0.500 0.167
Pm4 Pm 0.001 0.500 0.833
Pd1 Pd 0.499 0.500 0.658
Pd2 Pd 0.499 0.000 0.500
Pd3 Pd 0.499 0.500 0.342
Pd4 Pd 0.501 0.000 0.158
Pd5 Pd 0.501 0.500 0.000
Pd6 Pd 0.501 0.000 0.842